1.
# CuPtRh2 GGA-PBE relaxed
# density	13371	kg/m³
# energy relative to the elements	0.1172	eV per atom
# offset from the most stable computed form	160	meV/atom
# raw total energy	-6.09	eV per atom
data_CuPtRh2
_chemical_formula_sum 'Cu1 Pt1 Rh2'
_cell_length_a 4.5849
_cell_length_b 4.5849
_cell_length_c 2.7439
_cell_angle_alpha 90.00
_cell_angle_beta 90.00
_cell_angle_gamma 90.00
_space_group_name_H-M_alt 'P 1'
_space_group_IT_number 1
loop_
_space_group_symop_operation_xyz
'x,y,z'
loop_
_atom_site_label
_atom_site_fract_x
_atom_site_fract_y
_atom_site_fract_z
Cu1 0.5000 0.0000 0.5000
Pt1 0.0000 0.5000 0.5000
Rh1 0.0000 0.0000 0.0000
Rh2 0.5000 0.5000 0.0000

***

2.
# CuPt3Rh2 GGA-PBE relaxed
# density	16176	kg/m³
# energy relative to the elements	-0.0610	eV per atom
# raw total energy	-6.21	eV per atom
data_CuPt3Rh2
_chemical_formula_sum 'Cu1 Pt3 Rh2'
_cell_length_a 2.7710
_cell_length_b 2.7710
_cell_length_c 11.4260
_cell_angle_alpha 90.00
_cell_angle_beta 90.00
_cell_angle_gamma 90.00
_space_group_name_H-M_alt 'P 1'
_space_group_IT_number 1
loop_
_space_group_symop_operation_xyz
'x,y,z'
loop_
_atom_site_label
_atom_site_fract_x
_atom_site_fract_y
_atom_site_fract_z
Cu1 0.5000 0.5000 0.5000
Pt1 0.0000 0.0000 0.0000
Pt2 0.0000 0.0000 0.6601
Pt3 0.0000 0.0000 0.3399
Rh1 0.5000 0.5000 0.8317
Rh2 0.5000 0.5000 0.1683

***

3.
# CuPtRh2 GGA-PBE relaxed
# density	13592	kg/m³
# energy relative to the elements	-0.0098	eV per atom
# offset from the most stable computed form	33	meV/atom
# raw total energy	-6.22	eV per atom
data_CuPtRh2
_chemical_formula_sum 'Cu1 Pt1 Rh2'
_cell_length_a 4.6881
_cell_length_b 4.6881
_cell_length_c 4.7016
_cell_angle_alpha 79.92
_cell_angle_beta 79.92
_cell_angle_gamma 33.95
_space_group_name_H-M_alt 'P 1'
_space_group_IT_number 1
loop_
_space_group_symop_operation_xyz
'x,y,z'
loop_
_atom_site_label
_atom_site_fract_x
_atom_site_fract_y
_atom_site_fract_z
Rh1 0.0018 0.0018 0.9879
Rh2 0.7484 0.7484 0.7580
Cu1 0.4993 0.4993 0.4955
Pt1 0.2505 0.2505 0.2586

***

4.
# CuPtRh2 GGA-PBE relaxed
# density	13667	kg/m³
# energy relative to the elements	0.0343	eV per atom
# offset from the most stable computed form	77	meV/atom
# raw total energy	-6.18	eV per atom
data_CuPtRh2
_chemical_formula_sum 'Cu1 Pt1 Rh2'
_cell_length_a 2.7567
_cell_length_b 2.7567
_cell_length_c 7.4258
_cell_angle_alpha 90.00
_cell_angle_beta 90.00
_cell_angle_gamma 90.00
_space_group_name_H-M_alt 'P 1'
_space_group_IT_number 1
loop_
_space_group_symop_operation_xyz
'x,y,z'
loop_
_atom_site_label
_atom_site_fract_x
_atom_site_fract_y
_atom_site_fract_z
Cu1 0.5000 0.5000 0.2500
Pt1 0.5000 0.5000 0.7500
Rh1 0.0000 0.0000 0.0096
Rh2 0.0000 0.0000 0.4904

***

5.
# Cu2PtRh GGA-PBE relaxed
# density	13001	kg/m³
# energy relative to the elements	-0.0206	eV per atom
# offset from the most stable computed form	49	meV/atom
# raw total energy	-5.42	eV per atom
data_Cu2PtRh
_chemical_formula_sum 'Cu2 Pt1 Rh1'
_cell_length_a 2.7361
_cell_length_b 2.7361
_cell_length_c 7.2521
_cell_angle_alpha 90.00
_cell_angle_beta 90.00
_cell_angle_gamma 90.00
_space_group_name_H-M_alt 'P 1'
_space_group_IT_number 1
loop_
_space_group_symop_operation_xyz
'x,y,z'
loop_
_atom_site_label
_atom_site_fract_x
_atom_site_fract_y
_atom_site_fract_z
Rh1 0.5000 0.5000 0.7628
Cu1 0.0000 0.0000 0.0106
Cu2 0.5000 0.5000 0.2356
Pt1 0.0000 0.0000 0.4909

***

6.
# CuPtRh2 GGA-PBE relaxed
# density	13407	kg/m³
# energy relative to the elements	0.1112	eV per atom
# offset from the most stable computed form	154	meV/atom
# raw total energy	-6.10	eV per atom
data_CuPtRh2
_chemical_formula_sum 'Cu1 Pt1 Rh2'
_cell_length_a 2.7439
_cell_length_b 4.5566
_cell_length_c 4.6007
_cell_angle_alpha 90.00
_cell_angle_beta 90.00
_cell_angle_gamma 90.00
_space_group_name_H-M_alt 'P 1'
_space_group_IT_number 1
loop_
_space_group_symop_operation_xyz
'x,y,z'
loop_
_atom_site_label
_atom_site_fract_x
_atom_site_fract_y
_atom_site_fract_z
Cu1 0.5000 0.0000 0.5000
Pt1 0.0000 0.5000 0.5000
Rh1 0.0000 0.0000 0.0000
Rh2 0.5000 0.5000 0.0000